Cs2AgBiBr6 | PBE | optimized geometry

```
Cs2AgBiBr6
1.0
-4.0187 4.0187 5.7633
4.0187 -4.0187 5.7633
4.0187 4.0187 -5.7633
Cs Ag Bi Br
2 1 1 6
Cartesian
4.0187 0.0000 2.8816
0.0000 4.0187 2.8816
0.0000 0.0000 0.0000
0.0000 0.0000 5.7633
2.2355 1.7564 0.0000
0.0000 0.0000 2.8749
2.2623 -1.7832 5.7633
1.7564 5.8020 0.0000
0.0000 0.0000 8.6516
1.7832 2.2623 5.7633
```

Values from the calculation:
Its total energy is -2.99 eV per atom. Its space-group type is I4/m, No. 87.

=====

Sc2TcPd | PBE | optimized geometry

```
Sc2TcPd
1.0
0.0000 3.2636 3.2636
3.2636 0.0000 3.2636
3.2636 3.2636 0.0000
Sc Tc Pd
2 1 1
Cartesian
0.0000 0.0000 0.0000
1.6318 1.6318 1.6318
3.2636 3.2636 3.2636
4.8953 4.8953 4.8953
```

Values from the calculation:
The energy of formation is -92 meV/atom. For the distance to the lowest polymorph of the same formula, the calculation gives 493 meV per atom. The total moment comes out at 0.43 μB/f.u. Its space-group type is F-43m, No. 216.